(1)
{"formula": "Ac3Ga2Hg2", "functional": "PBE", "state": "optimized geometry", "lattice": [[-1.632, 3.196, -2.432], [-4.814, -3.983, 1.859], [2.367, 6.027, 6.332]], "species": ["Ac", "Ac", "Ac", "Ga", "Ga", "Hg", "Hg"], "fractional_positions": [[0.684, 0.369, 0.652], [0.316, 0.631, 0.348], [0.500, 0.000, 0.000], [0.190, 0.381, 0.943], [0.810, 0.619, 0.057], [0.962, 0.925, 0.668], [0.038, 0.075, 0.332]]}

---

(2)
{"formula": "Ac2Ga3Hg2", "functional": "PBE", "state": "optimized geometry", "lattice": [[4.645, 0.000, 0.000], [-2.322, 5.922, 0.755], [0.000, -2.278, 6.573]], "species": ["Ga", "Ga", "Ga", "Ac", "Ac", "Hg", "Hg"], "fractional_positions": [[0.430, 0.860, 0.616], [0.500, 0.000, 0.000], [0.570, 0.140, 0.384], [0.843, 0.687, 0.267], [0.157, 0.313, 0.733], [0.861, 0.722, 0.794], [0.139, 0.278, 0.206]]}

---

no.,energy relative to the elements (meV/atom),total DFT energy (no corrections) (eV for the cell shown)
1,-505,-22.52
2,-464,-21.15